A plane-wave DFT calculation with PBE was carried out for an optimized crystal structure of MnSnRuS.

Its raw formation energy is -0.0472 eV per atom. For the total magnetization, the calculation gives 3.04 μB/cell. The crystal system is monoclinic.

The space group is Cm (No. 8) and the conventional cell measures 8.115, 3.068 and 5.680 Å, with angles of 90.00, 93.58 and 90.00 degrees. Symmetry generates all atoms from Mn at (0.000, 0.000, 0.000), Sn at (0.201, 0.500, 0.745), Ru at (0.209, 0.500, 0.270) and S at (0.425, 0.000, 0.253).

=====

A plane-wave DFT calculation with PBE was carried out for an optimized crystal structure of CuRh2N.

Its raw formation energy is 0.3351 eV per atom. For the total magnetization, the calculation gives 0.00 μB/cell. The crystal system is tetragonal.

The space group is I-42d (No. 122) and the conventional cell measures 6.184, 6.184 and 5.602 Å, with angles of 90.00, 90.00 and 90.00 degrees. Symmetry generates all atoms from Cu at (0.000, 0.000, 0.000), Rh at (0.143, 0.250, 0.625) and N at (0.000, 0.000, 0.500).

=====

A plane-wave DFT calculation with PBE was carried out for an optimized crystal structure of Sn3Te4Au.

Its raw formation energy is -0.2025 eV per atom. For the total magnetization, the calculation gives 0.00 μB/cell. The crystal system is monoclinic.

The space group is Cm (No. 8) and the conventional cell measures 7.665, 4.428 and 15.617 Å, with angles of 90.00, 99.47 and 90.00 degrees. Symmetry generates all atoms from Sn at (0.000, 0.000, 0.000), Sn at (0.081, 0.500, 0.745), Sn at (0.162, 0.000, 0.490), Te at (0.202, 0.500, 0.105), Te at (0.284, 0.000, 0.853), Te at (0.366, 0.500, 0.601), Te at (0.448, 0.000, 0.348) and Au at (0.260, 0.500, 0.284).

=====

A plane-wave DFT calculation with PBE was carried out for an optimized crystal structure of Cr3TcRh6.

For the total magnetization, the calculation gives 2.45 μB/cell. The value obtained for the calculated formation energy is -70 meV/atom. The crystal system is monoclinic.

The space group is P2_1/m (No. 11) and the conventional cell measures 8.438, 3.799 and 8.526 Å, with angles of 90.00, 90.70 and 90.00 degrees. Symmetry generates all atoms from Cr at (0.051, 0.250, 0.393), Cr at (0.145, 0.750, 0.202), Cr at (0.252, 0.250, 0.992), Tc at (0.455, 0.250, 0.590), Rh at (0.044, 0.750, 0.898), Rh at (0.141, 0.250, 0.694), Rh at (0.241, 0.750, 0.494), Rh at (0.340, 0.250, 0.294), Rh at (0.346, 0.750, 0.803) and Rh at (0.442, 0.750, 0.100).